# 1
Compound: Ta2NiRh
Source: the Alexandria database
Functional: meta-GGA SCAN
Structure: single point on PBEsol structure

Properties
E = -1.6953 Ha/atom
Space-group type = Pm (6)
ΔH_f (0 K) = -1.42 eV per formula unit

The structure in extended XYZ format:
```
4
Lattice="2.788 0.000 0.000 0.000 4.452 0.000 -0.456 0.000 4.770" Properties=species:S:1:pos:R:3 pbc="T T T"
Ta 0.000 0.000 0.000
Ta 0.202 2.226 2.958
Ni 1.557 2.226 0.617
Rh 1.425 0.000 2.292
```

# 2
Compound: In2TeMoIr
Source: the Alexandria database
Functional: meta-GGA SCAN
Structure: single point on PBEsol structure

Properties
E = -1.5084 Ha/atom
Space-group type = P4/mmm (123)

The structure in extended XYZ format:
```
5
Lattice="5.195 0.000 0.000 0.000 5.195 0.000 0.000 0.000 4.707" Properties=species:S:1:pos:R:3 pbc="T T T"
In 0.000 2.598 0.000
In 2.598 0.000 0.000
Te 0.000 0.000 2.354
Mo 2.598 2.598 0.000
Ir 2.598 2.598 2.354
```

# 3
Compound: La2BeBiSe
Source: the Alexandria database
Functional: meta-GGA SCAN
Structure: single point on PBEsol structure

Properties
E = -1.4151 Ha/atom
Space-group type = P4/mmm (123)

The structure in extended XYZ format:
```
5
Lattice="5.561 0.000 0.000 0.000 5.561 0.000 0.000 0.000 4.171" Properties=species:S:1:pos:R:3 pbc="T T T"
La 0.000 2.780 0.000
La 2.780 0.000 0.000
Be 0.000 0.000 0.000
Bi 2.780 2.780 2.085
Se 0.000 0.000 2.085
```

Number 1: V 59.20 Å³/cell, Fermi-level density of states 2.778 states/eV per cell. Number 2: V 127.05 Å³/cell, Fermi-level density of states 2.800 states/eV per cell. Number 3: V 128.96 Å³/cell, Fermi-level density of states 2.671 states/eV per cell.